Record 1
First-principles (PBE) data for a geometry-optimized PuBeCu2 structure, as listed in Alexandria via LeMat-Bulk.

a = 2.5738 Å, b = 2.5738 Å, c = 9.1977 Å
α = 81.96°, β = 81.96°, γ = 60.00°
Closest atoms and distances in Å follow each position.
Fractional coordinates of all 4 atoms:
Be1 0.0000 0.0000 0.0000  6 Cu 2.35, 6 Be 2.57
Cu1 0.2665 0.2665 0.2005  3 Be 2.35, 6 Cu 2.57
Cu2 0.7335 0.7335 0.7995  3 Be 2.35, 6 Cu 2.57
Pu1 0.5000 0.5000 0.5000  6 Pu 2.57

## Properties
The value obtained for the theoretical density is 12.1 Mg/m³. Its space group is R-3m (166). The calculation puts the volume at 52 Å³/cell. For the formation energy, the calculation gives 0.201 eV/atom.

Record 2
First-principles (PBE) data for a geometry-optimized Pu2BeCu4Si3 structure, as listed in Alexandria via LeMat-Bulk.

a = 4.0163 Å, b = 4.0163 Å, c = 9.6657 Å
α = 90.00°, β = 90.00°, γ = 90.00°
Closest atoms and distances in Å follow each position.
Fractional coordinates of all 10 atoms:
Pu1 0.5000 0.0000 0.2522  6 Si 3.04-3.13, 8 Cu 3.10-3.16, 2 Be 3.13
Pu2 0.0000 0.5000 0.7478  6 Si 3.04-3.13, 8 Cu 3.10-3.16, 2 Be 3.13
Be1 0.5000 0.5000 0.5000  4 Cu 2.32
Cu1 0.5000 0.5000 0.0000  4 Si 2.42
Cu2 0.0000 0.0000 0.0000  4 Si 2.42
Cu3 0.5000 0.0000 0.6195  2 Be 2.32, 3 Si 2.32-2.33
Cu4 0.0000 0.5000 0.3805  2 Be 2.32, 3 Si 2.32-2.33
Si1 0.0000 0.0000 0.5000  4 Cu 2.32
Si2 0.5000 0.0000 0.8604  5 Cu 2.33-2.42
Si3 0.0000 0.5000 0.1396  5 Cu 2.33-2.42

## Properties
The value obtained for the theoretical density is 8.9 Mg/m³. Its space group is P-4m2 (115). The calculation puts the volume at 156 Å³/cell. Its energy relative to the elements, uncorrected is -0.2930 eV/atom.

Record 3
First-principles (PBE) data for a geometry-optimized RbBe2Cu structure, as listed in Alexandria via LeMat-Bulk.

a = 4.8269 Å, b = 4.8269 Å, c = 4.8269 Å
α = 60.00°, β = 60.00°, γ = 60.00°
Closest atoms and distances in Å follow each position.
Fractional coordinates of all 4 atoms:
Be1 0.2500 0.2500 0.2500  4 Rb 2.96, 4 Cu 2.96
Be2 0.7500 0.7500 0.7500  4 Rb 2.96, 4 Cu 2.96
Cu1 0.0000 0.0000 0.0000  8 Be 2.96
Rb1 0.5000 0.5000 0.5000  8 Be 2.96

## Properties
The value obtained for the theoretical density is 3.5 Mg/m³. Its space group is Fm-3m (225). The calculation puts the volume at 80 Å³/cell. For the formation energy, the calculation gives 1.378 eV/atom.

Record 4
First-principles (PBE) data for a geometry-optimized Rb3BeCu structure, as listed in Alexandria via LeMat-Bulk.

a = 6.5161 Å, b = 6.5161 Å, c = 6.5161 Å
α = 90.00°, β = 90.00°, γ = 90.00°
Closest atoms and distances in Å follow each position.
Fractional coordinates of all 5 atoms:
Be1 0.5000 0.5000 0.5000  12 Rb 4.61
Cu1 0.0000 0.0000 0.0000  6 Rb 3.26
Rb1 0.0000 0.5000 0.0000  2 Cu 3.26
Rb2 0.0000 0.0000 0.5000  2 Cu 3.26
Rb3 0.5000 0.0000 0.0000  2 Cu 3.26

## Properties
The value obtained for the theoretical density is 2.0 Mg/m³. Its space group is Pm-3m (221). The calculation puts the volume at 277 Å³/cell. For the formation energy, the calculation gives 0.822 eV/atom.

Record 5
First-principles (PBE) data for a geometry-optimized RbBeCu3 structure, as listed in Alexandria via LeMat-Bulk.

a = 4.5310 Å, b = 4.5310 Å, c = 4.5310 Å
α = 90.00°, β = 90.00°, γ = 90.00°
Closest atoms and distances in Å follow each position.
Fractional coordinates of all 5 atoms:
Be1 0.0000 0.0000 0.0000  6 Cu 2.27
Cu1 0.0000 0.5000 0.0000  2 Be 2.27
Cu2 0.0000 0.0000 0.5000  2 Be 2.27
Cu3 0.5000 0.0000 0.0000  2 Be 2.27
Rb1 0.5000 0.5000 0.5000  12 Cu 3.20

## Properties
The value obtained for the theoretical density is 5.1 Mg/m³. Its space group is Pm-3m (221). The calculation puts the volume at 93 Å³/cell. For the formation energy, the calculation gives 0.556 eV/atom.

Record 6
First-principles (PBE) data for a geometry-optimized Rb2BeCu structure, as listed in Alexandria via LeMat-Bulk.

a = 9.3917 Å, b = 9.3917 Å, c = 7.4825 Å
α = 51.13°, β = 51.13°, γ = 90.00°
Closest atoms and distances in Å follow each position.
Fractional coordinates of all 8 atoms:
Be1 0.5000 0.5000 0.0000  2 Cu 3.45, 4 Rb 3.54
Be2 0.2500 0.7500 0.5000  2 Cu 3.45, 4 Rb 3.54
Cu1 0.0000 0.0000 0.0000  4 Rb 3.33, 2 Be 3.45
Cu2 0.7500 0.2500 0.5000  4 Rb 3.33, 2 Be 3.45
Rb1 0.6412 0.1250 0.2500  2 Cu 3.33, 2 Rb 3.46, 2 Be 3.54
Rb2 0.1088 0.6250 0.2500  2 Cu 3.33, 2 Rb 3.46, 2 Be 3.54
Rb3 0.3750 0.3588 0.7500  2 Cu 3.33, 2 Rb 3.46, 2 Be 3.54
Rb4 0.8750 0.8912 0.7500  2 Cu 3.33, 2 Rb 3.46, 2 Be 3.54

## Properties
The value obtained for the theoretical density is 2.7 Mg/m³. Its space group is I-42d (122). The calculation puts the volume at 304 Å³/cell. For the formation energy, the calculation gives 0.991 eV/atom.

Among the records above, which one has the highest volume? Rb2BeCu